[1]
4
Lattice="3.4051 0.0000 0.0000 0.0000 3.4855 0.0000 0.0000 0.0000 9.0997" Properties=species:S:1:pos:R:3 comment="La2ScIr (PBE-GGA, optimized geometry)" dos_ef_per_ev_atom=1.1497 crystal_system=orthorhombic sg=Pmm2 pbc="T T T"
La 0.0000 0.0000 0.0000
La 1.7026 1.7427 3.1813
Sc 0.0000 0.0000 5.8262
Ir 1.7026 1.7427 7.1877

***

[2]
4
Lattice="0.0000 3.1309 3.1309 3.1309 0.0000 3.1309 3.1309 3.1309 0.0000" Properties=species:S:1:pos:R:3 comment="LiCrPdAu (PBE-GGA, optimized geometry)" dos_ef_per_ev_atom=0.6839 crystal_system=cubic sg=F-43m pbc="T T T"
Li 0.0000 0.0000 0.0000
Cr 3.1309 3.1309 3.1309
Pd 4.6964 4.6964 4.6964
Au 1.5655 1.5655 1.5655

***

Number 1: energy -26.50 eV per cell. Number 2: energy -20.64 eV per cell.